1.
# PBE ZrRhIO2, optimized geometry
data_ZrRhIO2
_space_group_name_H-M_alt 'P 4/m m m'
_space_group_IT_number 123
_space_group_name_Hall '-P 4 2'
_cell_length_a 4.129
_cell_length_b 4.129
_cell_length_c 5.051
_cell_angle_alpha 90.00
_cell_angle_beta 90.00
_cell_angle_gamma 90.00
loop_
_atom_site_label
_atom_site_type_symbol
_atom_site_fract_x
_atom_site_fract_y
_atom_site_fract_z
Zr1 Zr 0.000 0.000 0.000
Rh1 Rh 0.500 0.500 0.500
I1 I 0.500 0.500 0.000
O1 O 0.000 0.500 0.500
# excess energy over the best structure of this formula in the dataset = 1.155 eV/atom
# crystal system = tetragonal
# electronic total energy = -0.401 Ry per atom

***

2.
# PBE ZnTe, optimized geometry
data_ZnTe
_space_group_name_H-M_alt 'P 64 2 2'
_space_group_IT_number 181
_space_group_name_Hall 'P 64 2 (0 0 2)'
_cell_length_a 4.3438
_cell_length_b 4.3438
_cell_length_c 9.7727
_cell_angle_alpha 90.00
_cell_angle_beta 90.00
_cell_angle_gamma 120.00
loop_
_atom_site_label
_atom_site_type_symbol
_atom_site_fract_x
_atom_site_fract_y
_atom_site_fract_z
Zn1 Zn 0.0000 0.5000 0.3333
Te1 Te 0.0000 0.5000 0.8333
# crystal system = hexagonal
# electronic total energy = -0.186 Ry per atom

***

3.
# PBE KBa, optimized geometry
data_KBa
_space_group_name_H-M_alt 'R -3 m'
_space_group_IT_number 166
_space_group_name_Hall '-R 3 2"'
_cell_length_a 4.5144
_cell_length_b 4.5144
_cell_length_c 46.1421
_cell_angle_alpha 90.00
_cell_angle_beta 90.00
_cell_angle_gamma 120.00
loop_
_atom_site_label
_atom_site_type_symbol
_atom_site_fract_x
_atom_site_fract_y
_atom_site_fract_z
K1 K 0.0000 0.0000 0.1236
Ba1 Ba 0.0000 0.0000 0.3731
# formation energy = 0.0437 eV per atom
# crystal system = trigonal
# electronic total energy = -0.108 Ry per atom

***

4.
# PBE TaTePt, optimized geometry
data_TaTePt
_space_group_name_H-M_alt 'F -4 3 m'
_space_group_IT_number 216
_space_group_name_Hall 'F -4 2 3'
_cell_length_a 6.436
_cell_length_b 6.436
_cell_length_c 6.436
_cell_angle_alpha 90.00
_cell_angle_beta 90.00
_cell_angle_gamma 90.00
loop_
_atom_site_label
_atom_site_type_symbol
_atom_site_fract_x
_atom_site_fract_y
_atom_site_fract_z
Ta1 Ta 0.000 0.000 0.000
Te1 Te 0.000 0.000 0.500
Pt1 Pt 0.250 0.250 0.250
# excess energy over the best structure of this formula in the dataset = 0.432 eV/atom
# crystal system = cubic
# electronic total energy = -0.490 Ry per atom

***

5.
# PBE Tl4Cd3Cl10, optimized geometry
data_Tl4Cd3Cl10
_space_group_name_H-M_alt 'I 4/m m m'
_space_group_IT_number 139
_space_group_name_Hall '-I 4 2'
_cell_length_a 5.266
_cell_length_b 5.266
_cell_length_c 36.542
_cell_angle_alpha 90.00
_cell_angle_beta 90.00
_cell_angle_gamma 90.00
loop_
_atom_site_label
_atom_site_type_symbol
_atom_site_fract_x
_atom_site_fract_y
_atom_site_fract_z
Tl1 Tl 0.000 0.000 0.068
Tl2 Tl 0.000 0.000 0.200
Cd1 Cd 0.000 0.000 0.355
Cd2 Cd 0.000 0.000 0.500
Cl1 Cl 0.000 0.000 0.285
Cl2 Cl 0.000 0.000 0.429
Cl3 Cl 0.000 0.500 0.000
Cl4 Cl 0.000 0.500 0.140
# crystal system = tetragonal
# electronic total energy = -0.208 Ry per atom

***

6.
# PBE LaGa2Pt2, optimized geometry
data_LaGa2Pt2
_space_group_name_H-M_alt 'I 4/m m m'
_space_group_IT_number 139
_space_group_name_Hall '-I 4 2'
_cell_length_a 4.381
_cell_length_b 4.381
_cell_length_c 10.398
_cell_angle_alpha 90.00
_cell_angle_beta 90.00
_cell_angle_gamma 90.00
loop_
_atom_site_label
_atom_site_type_symbol
_atom_site_fract_x
_atom_site_fract_y
_atom_site_fract_z
La1 La 0.000 0.000 0.000
Ga1 Ga 0.000 0.000 0.375
Pt1 Pt 0.000 0.500 0.250
# formation energy = -0.9156 eV per atom
# crystal system = tetragonal
# electronic total energy = -0.406 Ry per atom

***

7.
# PBE Th2ReSn, optimized geometry
data_Th2ReSn
_space_group_name_H-M_alt 'F m -3 m'
_space_group_IT_number 225
_space_group_name_Hall '-F 4 2 3'
_cell_length_a 7.449
_cell_length_b 7.449
_cell_length_c 7.449
_cell_angle_alpha 90.00
_cell_angle_beta 90.00
_cell_angle_gamma 90.00
loop_
_atom_site_label
_atom_site_type_symbol
_atom_site_fract_x
_atom_site_fract_y
_atom_site_fract_z
Th1 Th 0.250 0.250 0.250
Re1 Re 0.000 0.000 0.000
Sn1 Sn 0.000 0.000 0.500
# excess energy over the best structure of this formula in the dataset = 0.280 eV/atom
# formation energy = 0.0559 eV per atom
# crystal system = cubic
# electronic total energy = -0.571 Ry per atom

***

8.
# PBE TlTeCl2, optimized geometry
data_TlTeCl2
_space_group_name_H-M_alt 'I -4 2 d'
_space_group_IT_number 122
_space_group_name_Hall 'I -4 2bw'
_cell_length_a 5.233
_cell_length_b 5.233
_cell_length_c 18.827
_cell_angle_alpha 90.00
_cell_angle_beta 90.00
_cell_angle_gamma 90.00
loop_
_atom_site_label
_atom_site_type_symbol
_atom_site_fract_x
_atom_site_fract_y
_atom_site_fract_z
Tl1 Tl 0.000 0.000 0.000
Te1 Te 0.000 0.000 0.500
Cl1 Cl 0.189 0.250 0.625
# excess energy over the best structure of this formula in the dataset = 0.164 eV/atom
# crystal system = tetragonal
# electronic total energy = -0.191 Ry per atom

***

9.
# PBE Ti3GaNi6, optimized geometry
data_Ti3GaNi6
_space_group_name_H-M_alt 'P 1 21/m 1'
_space_group_IT_number 11
_cell_length_a 7.016
_cell_length_b 4.269
_cell_length_c 9.082
_cell_angle_alpha 90.00
_cell_angle_beta 111.18
_cell_angle_gamma 90.00
loop_
_space_group_symop_operation_xyz
'x,y,z'
'-x,-y,-z'
'-x,y+1/2,-z'
'x,-y+1/2,z'
loop_
_atom_site_label
_atom_site_type_symbol
_atom_site_fract_x
_atom_site_fract_y
_atom_site_fract_z
Ti1 Ti 0.059 0.250 0.214
Ti2 Ti 0.297 0.250 0.016
Ti3 Ti 0.347 0.750 0.374
Ga1 Ga 0.132 0.750 0.573
Ni1 Ni 0.099 0.250 0.721
Ni2 Ni 0.102 0.750 0.074
Ni3 Ni 0.284 0.250 0.523
Ni4 Ni 0.312 0.750 0.863
Ni5 Ni 0.489 0.250 0.324
Ni6 Ni 0.498 0.250 0.834
# formation energy = -0.4196 eV per atom
# crystal system = monoclinic
# electronic total energy = -0.482 Ry per atom

***

10.
# PBE TcHgP4, optimized geometry
data_TcHgP4
_space_group_name_H-M_alt 'F -4 3 m'
_space_group_IT_number 216
_space_group_name_Hall 'F -4 2 3'
_cell_length_a 7.263
_cell_length_b 7.263
_cell_length_c 7.263
_cell_angle_alpha 90.00
_cell_angle_beta 90.00
_cell_angle_gamma 90.00
loop_
_atom_site_label
_atom_site_type_symbol
_atom_site_fract_x
_atom_site_fract_y
_atom_site_fract_z
Tc1 Tc 0.000 0.000 0.000
Hg1 Hg 0.250 0.250 0.750
P1 P 0.127 0.127 0.373
# formation energy = 0.8922 eV per atom
# crystal system = cubic
# electronic total energy = -0.330 Ry per atom

***

11.
# PBE InTe4Pb3, optimized geometry
data_InTe4Pb3
_space_group_name_H-M_alt 'P 4/m m m'
_space_group_IT_number 123
_space_group_name_Hall '-P 4 2'
_cell_length_a 4.582
_cell_length_b 4.582
_cell_length_c 13.085
_cell_angle_alpha 90.00
_cell_angle_beta 90.00
_cell_angle_gamma 90.00
loop_
_atom_site_label
_atom_site_type_symbol
_atom_site_fract_x
_atom_site_fract_y
_atom_site_fract_z
In1 In 0.000 0.000 0.000
Te1 Te 0.000 0.000 0.247
Te2 Te 0.500 0.500 0.000
Te3 Te 0.500 0.500 0.500
Pb1 Pb 0.000 0.000 0.500
Pb2 Pb 0.500 0.500 0.251
# excess energy over the best structure of this formula in the dataset = 0.000 eV/atom
# crystal system = tetragonal
# electronic total energy = -0.269 Ry per atom

***

12.
# PBE SrLa2Pd, optimized geometry
data_SrLa2Pd
_space_group_name_H-M_alt 'R -3 m'
_space_group_IT_number 166
_space_group_name_Hall '-R 3 2"'
_cell_length_a 4.2157
_cell_length_b 4.2157
_cell_length_c 30.6818
_cell_angle_alpha 90.00
_cell_angle_beta 90.00
_cell_angle_gamma 120.00
loop_
_atom_site_label
_atom_site_type_symbol
_atom_site_fract_x
_atom_site_fract_y
_atom_site_fract_z
Sr1 Sr 0.0000 0.0000 0.0000
La1 La 0.0000 0.0000 0.2209
Pd1 Pd 0.0000 0.0000 0.5000
# excess energy over the best structure of this formula in the dataset = 0.035 eV/atom
# formation energy = -0.3059 eV per atom
# crystal system = trigonal
# electronic total energy = -0.330 Ry per atom

***

13.
# PBE ReAu2F, optimized geometry
data_ReAu2F
_space_group_name_H-M_alt 'I -4 2 d'
_space_group_IT_number 122
_space_group_name_Hall 'I -4 2bw'
_cell_length_a 7.166
_cell_length_b 7.166
_cell_length_c 5.390
_cell_angle_alpha 90.00
_cell_angle_beta 90.00
_cell_angle_gamma 90.00
loop_
_atom_site_label
_atom_site_type_symbol
_atom_site_fract_x
_atom_site_fract_y
_atom_site_fract_z
Re1 Re 0.000 0.000 0.000
Au1 Au 0.234 0.250 0.625
F1 F 0.000 0.000 0.500
# excess energy over the best structure of this formula in the dataset = 0.000 eV/atom
# crystal system = tetragonal
# electronic total energy = -0.343 Ry per atom